[1]
Material: Sc4Cu3Rh2
Method: DFT, PBE
State: optimized geometry

Cell lengths 7.896, 4.373, 8.726 Å; angles 90.00, 93.84, 90.00 degrees
Space group C2/m (No. 12)
Unique sites:
Sc: 0.018 0.000 0.329 [4 per cell]
Sc: 0.162 0.500 0.888 [4 per cell]
Cu: 0.000 0.000 0.000 [2 per cell]
Cu: 0.162 0.500 0.527 [4 per cell]
Rh: 0.180 0.500 0.215 [4 per cell]

Results
VASP energy in eV per atom: -6.3294
V in Å³/atom: 16.7
Density in Mg/m³: 6.4


[2]
Material: Sc2CuRh
Method: DFT, PBE
State: optimized geometry

Cell lengths 3.576, 3.576, 5.703 Å; angles 90.00, 90.00, 90.00 degrees
Space group P4mm (No. 99)
Unique sites:
Sc: 0.000 0.000 0.000 [1 per cell]
Sc: 0.500 0.500 0.361 [1 per cell]
Cu: 0.000 0.000 0.534 [1 per cell]
Rh: 0.500 0.500 0.853 [1 per cell]

Results
VASP energy in eV per atom: -6.4119
V in Å³/atom: 18.2
Density in Mg/m³: 5.8


[3]
Material: ScCu2Rh
Method: DFT, PBE
State: optimized geometry

Cell lengths 3.726, 3.726, 8.299 Å; angles 90.00, 90.00, 90.00 degrees
Space group I4/mmm (No. 139)
Unique sites:
Sc: 0.000 0.000 0.000 [2 per cell]
Cu: 0.000 0.500 0.250 [4 per cell]
Rh: 0.000 0.000 0.500 [2 per cell]

Results
VASP energy in eV per atom: -5.9252
V in Å³/atom: 14.4
Density in Mg/m³: 7.9


[4]
Material: Sc5Cu4Rh
Method: DFT, PBE
State: optimized geometry

Cell lengths 3.252, 3.252, 16.308 Å; angles 90.00, 90.00, 90.00 degrees
Space group P4/mmm (No. 123)
Unique sites:
Sc: 0.000 0.000 0.000 [1 per cell]
Sc: 0.000 0.000 0.202 [2 per cell]
Sc: 0.000 0.000 0.402 [2 per cell]
Cu: 0.500 0.500 0.100 [2 per cell]
Cu: 0.500 0.500 0.301 [2 per cell]
Rh: 0.500 0.500 0.500 [1 per cell]

Results
VASP energy in eV per atom: -5.9651
V in Å³/atom: 17.2
Density in Mg/m³: 5.6